Computed, not measured: a relaxed VAgHg2O4 crystal at the PBE+U level of DFT.

Cell lengths 6.7754, 6.5542, 4.9105 Å; angles 70.80, 66.00, 43.19 degrees
Positions (direct):
V: 0.0000 0.0000 0.0000
Ag: 0.4396 0.4396 0.5604
Hg: 0.2382 0.2382 0.2618
Hg: 0.7382 0.7382 0.7618
O: 0.1031 0.7169 0.2831
O: 0.3106 0.8709 0.6894
O: 0.7169 0.1031 0.8969
O: 0.8709 0.3106 0.1291

The density of states at the Fermi level is 0.154 states/eV/atom. For the volume, the calculation gives 17.0 Å³/atom. The value obtained for the mass density is 7.61 g/cm3. The raw total energy comes out at -4.643 eV/atom. As for the symmetry: Fmm2 (42).

=====

Computed, not measured: a relaxed VAg2HgO4 crystal at the PBE+U level of DFT.

Cell lengths 6.2877, 5.9832, 5.1639 Å; angles 68.22, 62.08, 49.70 degrees
Positions (direct):
V: 0.0000 0.0000 0.0000
Ag: 0.2663 0.2663 0.2337
Ag: 0.7663 0.7663 0.7337
Hg: 0.5614 0.5614 0.4386
O: 0.1140 0.6819 0.8860
O: 0.2850 0.9224 0.0776
O: 0.6819 0.1140 0.3181
O: 0.9224 0.2850 0.7150

The density of states at the Fermi level is 0.210 states/eV/atom. For the volume, the calculation gives 16.3 Å³/atom. The value obtained for the mass density is 6.77 g/cm3. The raw total energy comes out at -4.984 eV/atom. As for the symmetry: Fmm2 (42). The calculation puts the relative energy among the computed polymorphs at 74 meV/atom.

=====

Computed, not measured: a relaxed VAg2HgO4 crystal at the PBE+U level of DFT.

Cell lengths 11.1816, 11.1816, 11.1816 Å; angles 109.45, 109.45, 109.51 degrees
Positions (direct):
V: 0.1201 0.6580 0.7450
V: 0.1251 0.1630 0.7550
V: 0.3420 0.0870 0.4621
V: 0.4080 0.3701 0.2450
V: 0.6249 0.8799 0.5379
V: 0.6299 0.8749 0.0379
V: 0.8370 0.5920 0.9621
V: 0.9130 0.3751 0.2550
Ag: 0.0145 0.1776 0.0293
Ag: 0.0149 0.9855 0.1631
Ag: 0.1028 0.4687 0.9410
Ag: 0.1483 0.9851 0.9707
Ag: 0.2187 0.3528 0.4410
Ag: 0.2223 0.7813 0.1340
Ag: 0.5277 0.1618 0.0590
Ag: 0.5313 0.4723 0.6340
Ag: 0.6017 0.0724 0.3369
Ag: 0.6472 0.0882 0.8660
Ag: 0.7351 0.3983 0.4707
Ag: 0.7355 0.2649 0.6631
Ag: 0.8224 0.8517 0.8369
Ag: 0.8382 0.8972 0.3660
Ag: 0.9118 0.7777 0.5590
Ag: 0.9276 0.2645 0.5293
Hg: 0.0225 0.7710 0.3631
Hg: 0.2290 0.5921 0.2515
Hg: 0.3406 0.9775 0.7485
Hg: 0.3421 0.4790 0.7515
Hg: 0.4079 0.6594 0.6369
Hg: 0.4094 0.6579 0.1369
Hg: 0.5210 0.2725 0.8631
Hg: 0.7275 0.5906 0.2485
O: 0.0458 0.5491 0.2996
O: 0.0850 0.2406 0.8888
O: 0.1310 0.0057 0.7469
O: 0.1341 0.5088 0.7531
O: 0.1523 0.7795 0.9137
O: 0.2205 0.1342 0.3728
O: 0.2495 0.7461 0.7004
O: 0.2539 0.9542 0.5033
O: 0.2588 0.3841 0.2531
O: 0.2991 0.2958 0.7996
O: 0.3518 0.1961 0.1112
O: 0.3982 0.0094 0.3443
O: 0.4509 0.7505 0.4967
O: 0.4912 0.2443 0.6253
O: 0.4961 0.4995 0.2004
O: 0.5005 0.7009 0.9967
O: 0.5295 0.4023 0.4137
O: 0.5977 0.0114 0.1272
O: 0.6159 0.8690 0.8747
O: 0.6190 0.8659 0.3747
O: 0.6650 0.0539 0.6557
O: 0.7042 0.5039 0.0033
O: 0.7557 0.3810 0.2469
O: 0.7594 0.6482 0.8443
O: 0.7614 0.8477 0.6272
O: 0.8039 0.9150 0.1557
O: 0.8658 0.2386 0.0863
O: 0.8842 0.4705 0.8728
O: 0.9461 0.6018 0.6112
O: 0.9886 0.1158 0.5863
O: 0.9906 0.3350 0.3888
O: 0.9943 0.7412 0.1253

For the volume, the calculation gives 16.8 Å³/atom. The value obtained for the mass density is 6.56 g/cm3. The raw total energy comes out at -5.058 eV/atom. As for the symmetry: I-42d (122). The calculation puts the relative energy among the computed polymorphs at 0 meV/atom.